CoPb2W: relaxed, PBE-GGA.

Unit cell a=3.093 b=3.096 c=9.702 alpha=71.30 beta=90.00 gamma=90.00
Atoms (fractional coordinates):
1 Co 0.500 0.803 0.696
2 Pb 0.000 0.073 0.924
3 Pb 0.500 0.190 0.313
4 W 0.000 0.434 0.567

Computed properties:
D(E_F)   2.74 states/eV per cell
Space group   Pm
Density   12.4 g/cm3
Magnetic moment   0.00 μB/cell
Energy of formation from the pure elements   415 meV/atom